1.
{"formula": "Mg14ZnC", "functional": "PBE-GGA", "state": "relaxed", "magnetic_moment_mub_per_cell": 0.0, "sg": "P-6m2 (187)", "rho_g_cm3": 2.10, "crystal_system": "hexagonal", "total_energy_ry_per_atom": -0.131, "lattice_angstrom": [[6.230, 0.000, 0.000], [-3.115, 5.395, 0.000], [0.000, 0.000, 9.846]], "species": ["Mg", "Mg", "Mg", "Mg", "Mg", "Mg", "Mg", "Mg", "Mg", "Mg", "Mg", "Mg", "Mg", "Mg", "Zn", "C"], "fractional_positions": [[0.000, 0.000, 0.249], [0.000, 0.000, 0.751], [0.013, 0.507, 0.264], [0.013, 0.507, 0.736], [0.327, 0.164, 0.500], [0.337, 0.169, 0.000], [0.493, 0.507, 0.264], [0.493, 0.507, 0.736], [0.493, 0.987, 0.264], [0.493, 0.987, 0.736], [0.831, 0.169, 0.000], [0.831, 0.663, 0.000], [0.836, 0.164, 0.500], [0.836, 0.673, 0.500], [0.333, 0.667, 0.000], [0.333, 0.667, 0.500]]}

***

2.
{"formula": "YC3", "functional": "PBE-GGA", "state": "relaxed", "magnetic_moment_mub_per_cell": 0.0, "sg": "Pm-3m (221)", "rho_g_cm3": 2.07, "crystal_system": "cubic", "total_energy_ry_per_atom": -0.358, "lattice_angstrom": [[4.649, 0.000, 0.000], [0.000, 4.649, 0.000], [0.000, 0.000, 4.649]], "species": ["Y", "C", "C", "C"], "fractional_positions": [[0.000, 0.000, 0.000], [0.000, 0.000, 0.500], [0.000, 0.500, 0.000], [0.500, 0.000, 0.000]]}

***

3.
{"formula": "NbBr3Cl", "functional": "PBE-GGA", "state": "relaxed", "magnetic_moment_mub_per_cell": 0.5, "raw_formation_energy_ev_per_atom": -0.8897, "sg": "C2/c (15)", "rho_g_cm3": 3.51, "crystal_system": "monoclinic", "lattice_angstrom": [[7.584, -8.152, 0.000], [7.584, 8.152, 0.000], [-2.173, 0.000, 5.636]], "species": ["Nb", "Nb", "Nb", "Nb", "Br", "Br", "Br", "Br", "Br", "Br", "Br", "Br", "Br", "Br", "Br", "Br", "Cl", "Cl", "Cl", "Cl"], "fractional_positions": [[0.045, 0.955, 0.750], [0.294, 0.706, 0.250], [0.706, 0.294, 0.750], [0.955, 0.045, 0.250], [0.075, 0.175, 0.038], [0.085, 0.746, 0.464], [0.175, 0.075, 0.538], [0.254, 0.915, 0.036], [0.322, 0.533, 0.432], [0.467, 0.678, 0.068], [0.533, 0.322, 0.932], [0.678, 0.467, 0.568], [0.746, 0.085, 0.964], [0.825, 0.925, 0.462], [0.915, 0.254, 0.536], [0.925, 0.825, 0.962], [0.131, 0.597, 0.927], [0.403, 0.869, 0.573], [0.597, 0.131, 0.427], [0.869, 0.403, 0.073]]}